Entry from the Alexandria database: crystalline Pr3Sm6YEr2 at its relaxed geometry (PBE).

Computed properties:
The space group is C2/m, No. 12.

Unit cell a=6.2879 b=6.2879 c=12.0095 alpha=95.01 beta=95.01 gamma=120.01
Sites, in units of the cell vectors:
Er: 0.3333 0.6667 0.0000
Er: 0.6667 0.3333 0.0000
Sm: 0.0819 0.4163 0.2447
Sm: 0.7475 0.7475 0.2447
Sm: 0.9181 0.5837 0.7553
Sm: 0.2525 0.2525 0.7553
Sm: 0.4163 0.0819 0.2447
Sm: 0.5837 0.9181 0.7553
Pr: 0.5000 0.5000 0.5000
Pr: 0.8333 0.1667 0.5000
Pr: 0.1667 0.8333 0.5000
Y: 0.0000 0.0000 0.0000

Entry from the Alexandria database: crystalline Pr3Sm2Y6Er at its relaxed geometry (PBE).

Computed properties:
The space group is C2/m, No. 12.

Unit cell a=6.2641 b=6.2641 c=11.9001 alpha=95.02 beta=95.02 gamma=119.98
Sites, in units of the cell vectors:
Y: 0.0822 0.4151 0.2471
Y: 0.9178 0.5849 0.7529
Y: 0.5849 0.9178 0.7529
Y: 0.7495 0.7495 0.2473
Y: 0.2505 0.2505 0.7527
Y: 0.4151 0.0822 0.2471
Pr: 0.8333 0.1667 0.5000
Pr: 0.5000 0.5000 0.5000
Pr: 0.1667 0.8333 0.5000
Er: 0.0000 0.0000 0.0000
Sm: 0.6665 0.3335 0.0000
Sm: 0.3335 0.6665 0.0000

Entry from the Alexandria database: crystalline Pr3SmY6Er2 at its relaxed geometry (PBE).

Computed properties:
The space group is C2/m, No. 12.

Unit cell a=6.2447 b=6.2447 c=11.8870 alpha=95.01 beta=95.01 gamma=119.97
Sites, in units of the cell vectors:
Y: 0.0821 0.4158 0.2461
Y: 0.2518 0.2518 0.7539
Y: 0.5842 0.9179 0.7539
Y: 0.4158 0.0821 0.2461
Y: 0.9179 0.5842 0.7539
Y: 0.7482 0.7482 0.2461
Sm: 0.0000 0.0000 0.0000
Er: 0.6668 0.3332 0.0000
Er: 0.3332 0.6668 0.0000
Pr: 0.1668 0.8332 0.5000
Pr: 0.8332 0.1668 0.5000
Pr: 0.5000 0.5000 0.5000

Entry from the Alexandria database: crystalline PrSmY2Er2 at its relaxed geometry (PBE).

Computed properties:
The space group is Pnnm, No. 58.

Unit cell a=3.4199 b=6.5582 c=17.9463 alpha=90.00 beta=90.00 gamma=90.00
Sites, in units of the cell vectors:
Y: 0.0000 0.7780 0.1875
Y: 0.0000 0.2220 0.8125
Y: 0.5000 0.2780 0.3125
Y: 0.5000 0.7220 0.6875
Sm: 0.0000 0.0000 0.5000
Sm: 0.5000 0.5000 0.0000
Er: 0.0000 0.7202 0.8520
Er: 0.0000 0.2798 0.1480
Er: 0.5000 0.7798 0.3520
Er: 0.5000 0.2202 0.6480
Pr: 0.0000 0.0000 0.0000
Pr: 0.5000 0.5000 0.5000

Entry from the Alexandria database: crystalline PrSmYEr3 at its relaxed geometry (PBE).

Computed properties:
The space group is Cmcm, No. 63.

Unit cell a=5.0549 b=7.9899 c=10.1191 alpha=90.00 beta=90.00 gamma=108.44
Sites, in units of the cell vectors:
Er: 0.3314 0.6629 0.4998
Er: 0.6686 0.3371 0.5002
Er: 0.8322 0.6644 0.2500
Er: 0.6686 0.3371 0.9998
Er: 0.3314 0.6629 0.0002
Er: 0.1678 0.3356 0.7500
Pr: 0.0000 0.0000 0.0000
Pr: 0.0000 0.0000 0.5000
Y: 0.1683 0.3367 0.2500
Y: 0.8317 0.6633 0.7500
Sm: 0.4991 0.9981 0.2500
Sm: 0.5009 0.0019 0.7500

Entry from the Alexandria database: crystalline Pr6Sm2Y3Er at its relaxed geometry (PBE).

Computed properties:
The space group is C2/m, No. 12.

Unit cell a=6.3384 b=6.3384 c=11.9740 alpha=95.05 beta=95.05 gamma=120.01
Sites, in units of the cell vectors:
Y: 0.1666 0.8334 0.5000
Y: 0.8334 0.1666 0.5000
Y: 0.5000 0.5000 0.5000
Pr: 0.5837 0.9163 0.7496
Pr: 0.0837 0.4163 0.2504
Pr: 0.9163 0.5837 0.7496
Pr: 0.7511 0.7511 0.2507
Pr: 0.2489 0.2489 0.7493
Pr: 0.4163 0.0837 0.2504
Sm: 0.3332 0.6668 0.0000
Sm: 0.6668 0.3332 0.0000
Er: 0.0000 0.0000 0.0000

Entry from the Alexandria database: crystalline PrSm2YEr2 at its relaxed geometry (PBE).

Computed properties:
The space group is Pnnm, No. 58.

Unit cell a=3.4275 b=6.5664 c=18.0348 alpha=90.00 beta=90.00 gamma=90.00
Sites, in units of the cell vectors:
Er: 0.0000 0.7211 0.8527
Er: 0.5000 0.2211 0.6473
Er: 0.5000 0.7789 0.3527
Er: 0.0000 0.2789 0.1473
Y: 0.5000 0.5000 0.0000
Y: 0.0000 0.0000 0.5000
Pr: 0.0000 0.0000 0.0000
Pr: 0.5000 0.5000 0.5000
Sm: 0.0000 0.7756 0.1876
Sm: 0.5000 0.2756 0.3124
Sm: 0.0000 0.2244 0.8124
Sm: 0.5000 0.7244 0.6876

Entry from the Alexandria database: crystalline Pr2Sm3Y6Er at its relaxed geometry (PBE).

Computed properties:
The space group is C2/m, No. 12.

Unit cell a=6.2453 b=6.2453 c=11.8931 alpha=95.00 beta=95.00 gamma=119.98
Sites, in units of the cell vectors:
Sm: 0.8332 0.1668 0.5000
Sm: 0.1668 0.8332 0.5000
Sm: 0.5000 0.5000 0.5000
Pr: 0.3336 0.6664 0.0000
Pr: 0.6664 0.3336 0.0000
Y: 0.9166 0.5841 0.7495
Y: 0.4159 0.0834 0.2505
Y: 0.2487 0.2487 0.7490
Y: 0.7513 0.7513 0.2510
Y: 0.0834 0.4159 0.2505
Y: 0.5841 0.9166 0.7495
Er: 0.0000 0.0000 0.0000

Entry from the Alexandria database: crystalline PrSm2Y2Er at its relaxed geometry (PBE).

Computed properties:
The space group is Pnnm, No. 58.

Unit cell a=3.4302 b=6.6109 c=17.8747 alpha=90.00 beta=90.00 gamma=90.00
Sites, in units of the cell vectors:
Y: 0.0000 0.7756 0.8162
Y: 0.0000 0.2244 0.1838
Y: 0.5000 0.2756 0.6838
Y: 0.5000 0.7244 0.3162
Er: 0.0000 0.0000 0.5000
Er: 0.5000 0.5000 0.0000
Sm: 0.0000 0.7204 0.1483
Sm: 0.0000 0.2796 0.8517
Sm: 0.5000 0.2204 0.3517
Sm: 0.5000 0.7796 0.6483
Pr: 0.0000 0.0000 0.0000
Pr: 0.5000 0.5000 0.5000

Entry from the Alexandria database: crystalline PrSmYEr at its relaxed geometry (PBE).

Computed properties:
The excess energy over the best structure of this formula in the dataset is 0.086 eV per atom. The space group is F-43m, No. 216.

Unit cell a=5.7431 b=5.7431 c=5.7431 alpha=60.00 beta=60.00 gamma=60.00
Sites, in units of the cell vectors:
Er: 0.0000 0.0000 0.0000
Sm: 0.7500 0.7500 0.7500
Pr: 0.2500 0.2500 0.2500
Y: 0.5000 0.5000 0.5000

Entry from the Alexandria database: crystalline PrSmErZn at its relaxed geometry (PBE).

Computed properties:
The excess energy over the best structure of this formula in the dataset is 0.000 eV per atom. The space group is P4mm, No. 99.

Unit cell a=3.6174 b=3.6174 c=8.7666 alpha=90.00 beta=90.00 gamma=90.00
Sites, in units of the cell vectors:
Pr: 0.0000 0.0000 0.0786
Er: 0.5000 0.5000 0.3708
Sm: 0.5000 0.5000 0.7751
Zn: 0.0000 0.0000 0.5602

Entry from the Alexandria database: crystalline PrSmErZn at its relaxed geometry (PBE).

Computed properties:
The excess energy over the best structure of this formula in the dataset is 0.181 eV per atom. The space group is F-43m, No. 216.

Unit cell a=5.4295 b=5.4295 c=5.4295 alpha=60.00 beta=60.00 gamma=60.00
Sites, in units of the cell vectors:
Sm: 0.2500 0.2500 0.2500
Er: 0.5000 0.5000 0.5000
Zn: 0.0000 0.0000 0.0000
Pr: 0.7500 0.7500 0.7500

Entry from the Alexandria database: crystalline PrSmErZr at its relaxed geometry (PBE).

Computed properties:
The space group is F-43m, No. 216.

Unit cell a=5.5624 b=5.5624 c=5.5624 alpha=60.00 beta=60.00 gamma=60.00
Each line ends with the local moment (μB).
Sites, in units of the cell vectors:
Sm: 0.5000 0.5000 0.5000  0.15
Zr: 0.2500 0.2500 0.2500  0.66
Pr: 0.7500 0.7500 0.7500  -0.01
Er: 0.0000 0.0000 0.0000  0.17

Entry from the Alexandria database: crystalline Pr3ErSn2 at its relaxed geometry (PBE).

Computed properties:
The excess energy over the best structure of this formula in the dataset is 0.000 eV per atom. The space group is P-4m2, No. 115.

Unit cell a=4.6685 b=4.6686 c=8.7538 alpha=90.00 beta=90.00 gamma=90.00
Sites, in units of the cell vectors:
Er: 0.5000 0.5000 0.0000
Pr: 0.0000 0.0000 0.0000
Pr: 0.0000 0.5000 0.6505
Pr: 0.5000 0.0000 0.3495
Sn: 0.5000 0.0000 0.7253
Sn: 0.0000 0.5000 0.2747

Entry from the Alexandria database: crystalline PrEr2Sn at its relaxed geometry (PBE).

Computed properties:
The excess energy over the best structure of this formula in the dataset is 0.129 eV per atom. The space group is Cmcm, No. 63.

Unit cell a=5.3517 b=6.9347 c=7.0815 alpha=90.00 beta=90.00 gamma=112.70
Sites, in units of the cell vectors:
Pr: 0.0666 0.1331 0.7500
Pr: 0.9334 0.8669 0.2500
Er: 0.3691 0.7382 0.5237
Er: 0.3691 0.7382 0.9763
Er: 0.6309 0.2618 0.0237
Er: 0.6309 0.2618 0.4763
Sn: 0.8175 0.6350 0.7500
Sn: 0.1825 0.3650 0.2500

Entry from the Alexandria database: crystalline PrEr3Sn at its relaxed geometry (PBE).

Computed properties:
The space group is Pnma, No. 62.

Unit cell a=3.6270 b=11.0587 c=15.2166 alpha=90.00 beta=90.00 gamma=90.00
Sites, in units of the cell vectors:
Sn: 0.2500 0.6217 0.8564
Sn: 0.2500 0.1217 0.6436
Sn: 0.7500 0.8783 0.3564
Sn: 0.7500 0.3783 0.1436
Er: 0.7500 0.9035 0.5683
Er: 0.7500 0.1220 0.2382
Er: 0.7500 0.1331 0.8225
Er: 0.2500 0.3780 0.7382
Er: 0.2500 0.0965 0.4317
Er: 0.2500 0.8669 0.1775
Er: 0.7500 0.4035 0.9317
Er: 0.7500 0.6220 0.2618
Er: 0.7500 0.6331 0.6775
Er: 0.2500 0.3669 0.3225
Er: 0.2500 0.5965 0.0683
Er: 0.2500 0.8780 0.7618
Pr: 0.7500 0.3388 0.5354
Pr: 0.2500 0.6612 0.4646
Pr: 0.2500 0.1612 0.0354
Pr: 0.7500 0.8388 0.9646

Entry from the Alexandria database: crystalline Pr3Er4Sn4 at its relaxed geometry (PBE).

Computed properties:
The space group is Immm, No. 71.

Unit cell a=4.9916 b=4.0543 c=16.9504 alpha=96.87 beta=98.47 gamma=90.00
Sites, in units of the cell vectors:
Er: 0.9054 0.4054 0.8107
Er: 0.0946 0.5946 0.1893
Er: 0.2607 0.2607 0.5213
Er: 0.7393 0.7393 0.4787
Sn: 0.8149 0.3149 0.6298
Sn: 0.5457 0.5457 0.0914
Sn: 0.1851 0.6851 0.3702
Sn: 0.4543 0.4543 0.9086
Pr: 0.0000 0.0000 0.0000
Pr: 0.6464 0.1464 0.2928
Pr: 0.3536 0.8536 0.7072

Entry from the Alexandria database: crystalline Pr2ErSn2 at its relaxed geometry (PBE).

Computed properties:
The space group is P4/mbm, No. 127.

Unit cell a=4.6242 b=8.1410 c=8.1410 alpha=90.00 beta=90.00 gamma=90.00
Sites, in units of the cell vectors:
Er: 0.0000 0.5000 0.5000
Er: 0.0000 0.0000 0.0000
Pr: 0.5000 0.3282 0.1718
Pr: 0.5000 0.1718 0.6718
Pr: 0.5000 0.8282 0.3282
Pr: 0.5000 0.6718 0.8282
Sn: 0.0000 0.8694 0.6306
Sn: 0.0000 0.1306 0.3694
Sn: 0.0000 0.6306 0.1306
Sn: 0.0000 0.3694 0.8694

Entry from the Alexandria database: crystalline PrEr2Sn at its relaxed geometry (PBE).

Computed properties:
The excess energy over the best structure of this formula in the dataset is 0.123 eV per atom. The space group is P4/mmm, No. 123.

Unit cell a=3.7785 b=3.7785 c=8.4056 alpha=90.00 beta=90.00 gamma=90.00
Sites, in units of the cell vectors:
Er: 0.0000 0.0000 0.7867
Er: 0.0000 0.0000 0.2133
Pr: 0.5000 0.5000 0.5000
Sn: 0.5000 0.5000 0.0000

Entry from the Alexandria database: crystalline PrEr2Sn at its relaxed geometry (PBE).

Computed properties:
The excess energy over the best structure of this formula in the dataset is 0.403 eV per atom. The space group is R-3m, No. 166.

Unit cell a=3.4752 b=3.4752 c=12.0236 alpha=81.69 beta=81.69 gamma=60.00
Sites, in units of the cell vectors:
Pr: 0.0000 0.0000 0.0000
Er: 0.0962 0.0962 0.7114
Er: 0.9038 0.9038 0.2886
Sn: 0.5000 0.5000 0.5000

Entry from the Alexandria database: crystalline PrEr2Sn at its relaxed geometry (PBE).

Computed properties:
The excess energy over the best structure of this formula in the dataset is 0.000 eV per atom. The space group is P2_1/m, No. 11.

Unit cell a=4.7479 b=4.6606 c=11.4426 alpha=101.64 beta=90.00 gamma=90.00
Sites, in units of the cell vectors:
Pr: 0.2500 0.3085 0.6141
Pr: 0.7500 0.6915 0.3859
Er: 0.2500 0.5564 0.1134
Er: 0.7500 0.4436 0.8866
Er: 0.7500 0.0630 0.1269
Er: 0.2500 0.9370 0.8731
Sn: 0.2500 0.1590 0.3216
Sn: 0.7500 0.8410 0.6784

Entry from the Alexandria database: crystalline PrEr2Sn at its relaxed geometry (PBE).

Computed properties:
The excess energy over the best structure of this formula in the dataset is 0.018 eV per atom. The space group is P4/mmm, No. 123.

Unit cell a=4.8177 b=4.8709 c=4.8709 alpha=90.00 beta=90.00 gamma=90.00
Sites, in units of the cell vectors:
Sn: 0.5000 0.5000 0.5000
Er: 0.0000 0.0000 0.5000
Er: 0.0000 0.5000 0.0000
Pr: 0.5000 0.0000 0.0000

Entry from the Alexandria database: crystalline Pr3ErSn4 at its relaxed geometry (PBE).

Computed properties:
The space group is Immm, No. 71.

Unit cell a=4.1132 b=7.1274 c=9.6704 alpha=111.62 beta=102.28 gamma=90.00
Sites, in units of the cell vectors:
Sn: 0.6274 0.8328 0.2548
Sn: 0.3726 0.1672 0.7452
Sn: 0.3726 0.5780 0.7452
Sn: 0.6274 0.4220 0.2548
Pr: 0.2041 0.2041 0.4082
Pr: 0.0000 0.5000 0.0000
Pr: 0.7959 0.7959 0.5918
Er: 0.5000 0.0000 0.0000

no.,E (eV per cell),size of the total moment (μB per cell)
1,-58.02,0.00
2,-66.95,0.00
3,-66.75,0.00
4,-59.87,0.00
5,-59.00,0.00
6,-61.96,0.00
7,-56.41,0.00
8,-66.90,0.00
9,-60.33,0.00
10,-20.10,0.00
11,-15.97,0.00
12,-15.24,0.00
13,-21.63,1.55
14,-30.33,0.00
15,-38.17,0.00
16,-95.35,0.00
17,-53.27,0.00
18,-51.39,0.00
19,-19.11,0.00
20,-17.99,0.00
21,-39.20,0.13
22,-19.53,0.00
23,-39.46,0.00